Record 1
A relaxed Y3TcH crystal. Source: the Alexandria database, functional GGA-PBE.

Summary:
space group	Pm-3m (221)
E above lowest polymorph	0.000	eV/f.u.

Structure (POSCAR):
```
Y3TcH
1.0
4.685 0.000 0.000
0.000 4.685 0.000
0.000 0.000 4.685
Y H Tc
3 1 1
Cartesian
0.000 2.343 0.000
0.000 0.000 2.343
2.343 0.000 0.000
0.000 0.000 0.000
2.343 2.343 2.343
```

Record 2
A relaxed Be2TlCd crystal. Source: the Alexandria database, functional GGA-PBE.

Summary:
ΔE_f	283	kJ/mol of formula units
space group	Immm (71)
E above lowest polymorph	1.075	eV/f.u.

Structure (POSCAR):
```
Be2TlCd
1.0
-2.345 -1.647 -4.539
1.915 -4.942 -0.851
-3.034 3.254 3.004
Be Tl Cd
2 1 1
Cartesian
-0.428 -6.558 -5.365
-0.217 -3.325 -2.720
-0.667 -2.491 -0.271
-2.796 -0.844 -2.115
```

Record 3
A relaxed CsRbGa2Bi2 crystal. Source: the Alexandria database, functional GGA-PBE.

Summary:
ΔE_f	-100	kJ/mol of formula units
space group	P-3m1 (164)

Structure (POSCAR):
```
CsRbGa2Bi2
1.0
5.015 0.000 0.000
-2.508 4.344 0.000
0.000 0.000 11.661
Cs Rb Ga Bi
1 1 2 2
Cartesian
0.000 0.000 0.000
0.000 0.000 5.831
2.508 1.448 2.941
0.000 2.896 8.720
2.508 1.448 8.632
0.000 2.896 3.029
```

no.,electronic total energy (eV/atom)
1,-6.54
2,-1.95
3,-2.78